[1]
# PBE DyGaPb2, optimized geometry
# - Relative energy among the computed polymorphs: 436 meV/atom
# - Space-group type: R-3m, No. 166
# - Crystal system: trigonal
# - Formation energy: 0.1320 eV per atom
data_DyGaPb2
_chemical_formula_sum 'Dy3 Ga3 Pb6'
_symmetry_space_group_name_H-M 'P 1'
_symmetry_Int_Tables_number 1
_symmetry_space_group_name_Hall 'P 1'
_cell_length_a 3.546
_cell_length_b 3.546
_cell_length_c 32.687
_cell_angle_alpha 90.00
_cell_angle_beta 90.00
_cell_angle_gamma 120.00
loop_
_atom_site_label
_atom_site_type_symbol
_atom_site_fract_x
_atom_site_fract_y
_atom_site_fract_z
_atom_site_occupancy
Dy1 Dy 0.000 0.000 0.000 1
Dy2 Dy 0.333 0.667 0.667 1
Dy3 Dy 0.667 0.333 0.333 1
Ga1 Ga 0.000 0.000 0.500 1
Ga2 Ga 0.333 0.667 0.167 1
Ga3 Ga 0.667 0.333 0.833 1
Pb1 Pb 0.000 0.000 0.096 1
Pb2 Pb 0.000 0.000 0.904 1
Pb3 Pb 0.333 0.667 0.571 1
Pb4 Pb 0.333 0.667 0.763 1
Pb5 Pb 0.667 0.333 0.237 1
Pb6 Pb 0.667 0.333 0.429 1

***

[2]
# PBE Ba3In5Sn2, optimized geometry
# - Space-group type: Ibam, No. 72
# - Crystal system: orthorhombic
# - Formation energy: -0.3549 eV per atom
data_Ba3In5Sn2
_chemical_formula_sum 'Ba6 In10 Sn4'
_symmetry_space_group_name_H-M 'P 1'
_symmetry_Int_Tables_number 1
_symmetry_space_group_name_Hall 'P 1'
_cell_length_a 10.569
_cell_length_b 10.569
_cell_length_c 10.569
_cell_angle_alpha 107.58
_cell_angle_beta 86.36
_cell_angle_gamma 139.60
loop_
_atom_site_label
_atom_site_type_symbol
_atom_site_fract_x
_atom_site_fract_y
_atom_site_fract_z
_atom_site_occupancy
Ba1 Ba 0.131 0.718 0.848 1
Ba2 Ba 0.250 0.250 0.000 1
Ba3 Ba 0.369 0.218 0.587 1
Ba4 Ba 0.631 0.782 0.413 1
Ba5 Ba 0.750 0.750 0.000 1
Ba6 Ba 0.869 0.282 0.152 1
In1 In 0.016 0.250 0.766 1
In2 In 0.133 0.393 0.526 1
In3 In 0.250 0.750 0.500 1
In4 In 0.367 0.893 0.260 1
In5 In 0.484 0.250 0.234 1
In6 In 0.516 0.750 0.766 1
In7 In 0.633 0.107 0.740 1
In8 In 0.750 0.250 0.500 1
In9 In 0.867 0.607 0.474 1
In10 In 0.984 0.750 0.234 1
Sn1 Sn 0.132 0.161 0.293 1
Sn2 Sn 0.368 0.661 0.029 1
Sn3 Sn 0.632 0.339 0.971 1
Sn4 Sn 0.868 0.839 0.707 1

***

[3]
# PBE KZnSe2, optimized geometry
# - Formation energy without anion corrections: -0.655 eV per atom
# - Space-group type: Amm2, No. 38
# - Crystal system: orthorhombic
data_KZnSe2
_chemical_formula_sum 'K2 Zn2 Se4'
_symmetry_space_group_name_H-M 'P 1'
_symmetry_Int_Tables_number 1
_symmetry_space_group_name_Hall 'P 1'
_cell_length_a 4.156
_cell_length_b 3.506
_cell_length_c 15.601
_cell_angle_alpha 90.00
_cell_angle_beta 90.00
_cell_angle_gamma 90.00
loop_
_atom_site_label
_atom_site_type_symbol
_atom_site_fract_x
_atom_site_fract_y
_atom_site_fract_z
_atom_site_occupancy
K1 K 0.000 0.000 0.000 1
K2 K 0.000 0.500 0.500 1
Zn1 Zn 0.500 0.000 0.228 1
Zn2 Zn 0.500 0.500 0.728 1
Se1 Se 0.000 0.000 0.317 1
Se2 Se 0.000 0.500 0.817 1
Se3 Se 0.500 0.000 0.617 1
Se4 Se 0.500 0.500 0.117 1

***

[4]
# PBE ZrIr2Au, optimized geometry
# - Relative energy among the computed polymorphs: 138 meV/atom
# - Space-group type: I-4m2, No. 119
# - Crystal system: tetragonal
# - Formation energy: -0.3947 eV per atom
data_ZrIr2Au
_chemical_formula_sum 'Zr2 Ir4 Au2'
_symmetry_space_group_name_H-M 'P 1'
_symmetry_Int_Tables_number 1
_symmetry_space_group_name_Hall 'P 1'
_cell_length_a 3.997
_cell_length_b 3.997
_cell_length_c 8.379
_cell_angle_alpha 90.00
_cell_angle_beta 90.00
_cell_angle_gamma 90.00
loop_
_atom_site_label
_atom_site_type_symbol
_atom_site_fract_x
_atom_site_fract_y
_atom_site_fract_z
_atom_site_occupancy
Zr1 Zr 0.000 0.000 0.000 1
Zr2 Zr 0.500 0.500 0.500 1
Ir1 Ir 0.000 0.000 0.500 1
Ir2 Ir 0.000 0.500 0.750 1
Ir3 Ir 0.500 0.000 0.250 1
Ir4 Ir 0.500 0.500 0.000 1
Au1 Au 0.000 0.500 0.250 1
Au2 Au 0.500 0.000 0.750 1

***

[5]
# PBE Rb2Ag5Se4, optimized geometry
# - Formation energy without anion corrections: -0.348 eV per atom
# - Space-group type: Fmmm, No. 69
# - Crystal system: orthorhombic
data_Rb2Ag5Se4
_chemical_formula_sum 'Rb2 Ag5 Se4'
_symmetry_space_group_name_H-M 'P 1'
_symmetry_Int_Tables_number 1
_symmetry_space_group_name_Hall 'P 1'
_cell_length_a 10.016
_cell_length_b 7.974
_cell_length_c 7.412
_cell_angle_alpha 81.14
_cell_angle_beta 51.87
_cell_angle_gamma 46.98
loop_
_atom_site_label
_atom_site_type_symbol
_atom_site_fract_x
_atom_site_fract_y
_atom_site_fract_z
_atom_site_occupancy
Rb1 Rb 0.159 0.159 0.841 1
Rb2 Rb 0.841 0.841 0.159 1
Ag1 Ag 0.000 0.000 0.500 1
Ag2 Ag 0.250 0.250 0.250 1
Ag3 Ag 0.500 0.500 0.000 1
Ag4 Ag 0.500 0.500 0.500 1
Ag5 Ag 0.750 0.750 0.750 1
Se1 Se 0.228 0.520 0.480 1
Se2 Se 0.480 0.772 0.228 1
Se3 Se 0.520 0.228 0.772 1
Se4 Se 0.772 0.480 0.520 1

***

[6]
# PBE YHgPS2, optimized geometry
# - Relative energy among the computed polymorphs: 0 meV/atom
# - Formation energy without anion corrections: 0.020 eV per atom
# - Space-group type: P4/mmm, No. 123
# - Crystal system: tetragonal
data_YHgPS2
_chemical_formula_sum 'Y1 Hg1 P1 S2'
_symmetry_space_group_name_H-M 'P 1'
_symmetry_Int_Tables_number 1
_symmetry_space_group_name_Hall 'P 1'
_cell_length_a 5.209
_cell_length_b 5.209
_cell_length_c 5.609
_cell_angle_alpha 90.00
_cell_angle_beta 90.00
_cell_angle_gamma 90.00
loop_
_atom_site_label
_atom_site_type_symbol
_atom_site_fract_x
_atom_site_fract_y
_atom_site_fract_z
_atom_site_occupancy
Y1 Y 0.000 0.000 0.000 1
Hg1 Hg 0.500 0.500 0.500 1
P1 P 0.000 0.000 0.500 1
S1 S 0.000 0.500 0.000 1
S2 S 0.500 0.000 0.000 1

***

[7]
# PBE Pr7SmMg2, optimized geometry
# - Space-group type: Cmmm, No. 65
# - Crystal system: orthorhombic
# - Formation energy: 0.5024 eV per atom
data_Pr7SmMg2
_chemical_formula_sum 'Pr7 Sm1 Mg2'
_symmetry_space_group_name_H-M 'P 1'
_symmetry_Int_Tables_number 1
_symmetry_space_group_name_Hall 'P 1'
_cell_length_a 9.500
_cell_length_b 9.500
_cell_length_c 5.438
_cell_angle_alpha 90.00
_cell_angle_beta 90.00
_cell_angle_gamma 123.47
loop_
_atom_site_label
_atom_site_type_symbol
_atom_site_fract_x
_atom_site_fract_y
_atom_site_fract_z
_atom_site_occupancy
Pr1 Pr 0.000 0.000 0.000 1
Pr2 Pr 0.200 0.431 0.000 1
Pr3 Pr 0.285 0.715 0.500 1
Pr4 Pr 0.431 0.200 0.000 1
Pr5 Pr 0.569 0.800 0.000 1
Pr6 Pr 0.715 0.285 0.500 1
Pr7 Pr 0.800 0.569 0.000 1
Sm1 Sm 0.500 0.500 0.500 1
Mg1 Mg 0.201 0.799 0.000 1
Mg2 Mg 0.799 0.201 0.000 1

***

[8]
# PBE SiAgSb2, optimized geometry
# - Formation energy without anion corrections: 0.203 eV per atom
# - Space-group type: C2/m, No. 12
# - Crystal system: monoclinic
data_SiAgSb2
_chemical_formula_sum 'Si2 Ag2 Sb4'
_symmetry_space_group_name_H-M 'P 1'
_symmetry_Int_Tables_number 1
_symmetry_space_group_name_Hall 'P 1'
_cell_length_a 6.846
_cell_length_b 3.905
_cell_length_c 7.324
_cell_angle_alpha 90.00
_cell_angle_beta 107.58
_cell_angle_gamma 90.00
loop_
_atom_site_label
_atom_site_type_symbol
_atom_site_fract_x
_atom_site_fract_y
_atom_site_fract_z
_atom_site_occupancy
Si1 Si 0.000 0.000 0.000 1
Si2 Si 0.500 0.500 0.000 1
Ag1 Ag 0.000 0.500 0.500 1
Ag2 Ag 0.500 0.000 0.500 1
Sb1 Sb 0.246 0.500 0.231 1
Sb2 Sb 0.254 0.000 0.769 1
Sb3 Sb 0.746 0.000 0.231 1
Sb4 Sb 0.754 0.500 0.769 1

***

[9]
# PBE YCuHgOs2, optimized geometry
# - Space-group type: P4/mmm, No. 123
# - Crystal system: tetragonal
# - Formation energy: 1.0252 eV per atom
data_YCuHgOs2
_chemical_formula_sum 'Y1 Cu1 Hg1 Os2'
_symmetry_space_group_name_H-M 'P 1'
_symmetry_Int_Tables_number 1
_symmetry_space_group_name_Hall 'P 1'
_cell_length_a 4.651
_cell_length_b 4.651
_cell_length_c 4.679
_cell_angle_alpha 90.00
_cell_angle_beta 90.00
_cell_angle_gamma 90.00
loop_
_atom_site_label
_atom_site_type_symbol
_atom_site_fract_x
_atom_site_fract_y
_atom_site_fract_z
_atom_site_occupancy
Y1 Y 0.000 0.000 0.000 1
Cu1 Cu 0.500 0.500 0.500 1
Hg1 Hg 0.500 0.500 0.000 1
Os1 Os 0.000 0.500 0.500 1
Os2 Os 0.500 0.000 0.500 1

***

[10]
# PBE Y2AgSn, optimized geometry
# - Space-group type: I-42d, No. 122
# - Crystal system: tetragonal
# - Formation energy: 0.1056 eV per atom
data_Y2AgSn
_chemical_formula_sum 'Y8 Ag4 Sn4'
_symmetry_space_group_name_H-M 'P 1'
_symmetry_Int_Tables_number 1
_symmetry_space_group_name_Hall 'P 1'
_cell_length_a 4.726
_cell_length_b 4.726
_cell_length_c 20.903
_cell_angle_alpha 90.00
_cell_angle_beta 90.00
_cell_angle_gamma 90.00
loop_
_atom_site_label
_atom_site_type_symbol
_atom_site_fract_x
_atom_site_fract_y
_atom_site_fract_z
_atom_site_occupancy
Y1 Y 0.243 0.250 0.125 1
Y2 Y 0.250 0.743 0.375 1
Y3 Y 0.250 0.757 0.875 1
Y4 Y 0.257 0.250 0.625 1
Y5 Y 0.743 0.750 0.625 1
Y6 Y 0.750 0.243 0.875 1
Y7 Y 0.750 0.257 0.375 1
Y8 Y 0.757 0.750 0.125 1
Ag1 Ag 0.000 0.000 0.500 1
Ag2 Ag 0.000 0.500 0.750 1
Ag3 Ag 0.500 0.000 0.250 1
Ag4 Ag 0.500 0.500 0.000 1
Sn1 Sn 0.000 0.000 0.000 1
Sn2 Sn 0.000 0.500 0.250 1
Sn3 Sn 0.500 0.000 0.750 1
Sn4 Sn 0.500 0.500 0.500 1

***

[11]
# PBE AcTl3Sn3, optimized geometry
# - Space-group type: Pm-3n, No. 223
# - Crystal system: cubic
# - Formation energy: 0.3317 eV per atom
data_AcTl3Sn3
_chemical_formula_sum 'Ac2 Tl6 Sn6'
_symmetry_space_group_name_H-M 'P 1'
_symmetry_Int_Tables_number 1
_symmetry_space_group_name_Hall 'P 1'
_cell_length_a 8.167
_cell_length_b 8.167
_cell_length_c 8.167
_cell_angle_alpha 90.00
_cell_angle_beta 90.00
_cell_angle_gamma 90.00
loop_
_atom_site_label
_atom_site_type_symbol
_atom_site_fract_x
_atom_site_fract_y
_atom_site_fract_z
_atom_site_occupancy
Ac1 Ac 0.000 0.000 0.000 1
Ac2 Ac 0.500 0.500 0.500 1
Tl1 Tl 0.000 0.250 0.500 1
Tl2 Tl 0.000 0.750 0.500 1
Tl3 Tl 0.250 0.500 0.000 1
Tl4 Tl 0.500 0.000 0.250 1
Tl5 Tl 0.500 0.000 0.750 1
Tl6 Tl 0.750 0.500 0.000 1
Sn1 Sn 0.000 0.500 0.250 1
Sn2 Sn 0.000 0.500 0.750 1
Sn3 Sn 0.250 0.000 0.500 1
Sn4 Sn 0.500 0.250 0.000 1
Sn5 Sn 0.500 0.750 0.000 1
Sn6 Sn 0.750 0.000 0.500 1

***

[12]
# PBE Ho2CrHg, optimized geometry
# - Space-group type: P4/mmm, No. 123
# - Crystal system: tetragonal
# - Formation energy: -0.0659 eV per atom
data_Ho2CrHg
_chemical_formula_sum 'Ho2 Cr1 Hg1'
_symmetry_space_group_name_H-M 'P 1'
_symmetry_Int_Tables_number 1
_symmetry_space_group_name_Hall 'P 1'
_cell_length_a 3.554
_cell_length_b 3.554
_cell_length_c 7.552
_cell_angle_alpha 90.00
_cell_angle_beta 90.00
_cell_angle_gamma 90.00
loop_
_atom_site_label
_atom_site_type_symbol
_atom_site_fract_x
_atom_site_fract_y
_atom_site_fract_z
_atom_site_occupancy
Ho1 Ho 0.000 0.000 0.230 1
Ho2 Ho 0.000 0.000 0.770 1
Cr1 Cr 0.500 0.500 0.000 1
Hg1 Hg 0.500 0.500 0.500 1

***

One value per record, in order, for E_tot: -3.6295 -3.1015 -2.9905 -7.7816 -3.0867 -4.0659 -3.6340 -3.9269 -5.6391 -4.8399 -2.9848 -4.8361 eV per atom.
One value per record, in order, for spin magnetization: 0.00 0.00 0.00 0.17 0.00 2.31 0.00 0.00 1.38 0.00 0.00 3.22 μB/f.u..